Record 1
The following is a PBE calculation of an optimized crystal structure of La6Y2Ho, from the Alexandria database.

**E_form**: 0.112 eV per atom
**Relative energy among the computed polymorphs**: 57 meV/atom
**Symmetry**: Cmmm, No. 65

Unit cell a=3.713 b=10.138 c=10.138 alpha=55.96 beta=90.00 gamma=90.00
Element x y z (fractional)
La (0.500, 0.320, 0.680)
La (0.000, 0.164, 0.505)
La (0.000, 0.495, 0.836)
La (0.500, 0.680, 0.320)
La (0.000, 0.505, 0.164)
La (0.000, 0.836, 0.495)
Ho (0.000, 0.000, 0.000)
Y (0.500, 0.172, 0.172)
Y (0.500, 0.828, 0.828)

***

Record 2
The following is a PBE calculation of an optimized crystal structure of La2YHo6, from the Alexandria database.

**E_form**: 0.069 eV per atom
**Relative energy among the computed polymorphs**: 0 meV/atom
**Symmetry**: P-6m2, No. 187

Unit cell a=3.587 b=3.587 c=26.523 alpha=90.00 beta=90.00 gamma=120.00
Site moments in Bohr magnetons follow the coordinates.
Element x y z (fractional)
Ho (0.667, 0.333, 0.108)  -0.05
Ho (0.333, 0.667, 0.212)  0.01
Ho (0.333, 0.667, 0.562)  -0.01
Ho (0.333, 0.667, 0.438)  -0.01
Ho (0.667, 0.333, 0.892)  -0.05
Ho (0.333, 0.667, 0.788)  0.01
La (0.667, 0.333, 0.672)  0.00
La (0.667, 0.333, 0.328)  0.00
Y (0.333, 0.667, 0.000)  -0.10

***

Record 3
The following is a PBE calculation of an optimized crystal structure of La3YHo, from the Alexandria database.

**E_form**: 0.159 eV per atom
**Relative energy among the computed polymorphs**: 107 meV/atom
**Symmetry**: Pnna, No. 52

Unit cell a=6.211 b=8.847 c=12.927 alpha=90.00 beta=90.00 gamma=90.00
Element x y z (fractional)
Ho (0.250, 0.500, 0.057)
Ho (0.250, 0.000, 0.443)
Ho (0.750, 0.000, 0.557)
Ho (0.750, 0.500, 0.943)
Y (0.750, 0.500, 0.202)
Y (0.250, 0.000, 0.702)
Y (0.250, 0.500, 0.798)
Y (0.750, 0.000, 0.298)
La (0.088, 0.331, 0.559)
La (0.412, 0.831, 0.941)
La (0.588, 0.169, 0.059)
La (0.412, 0.669, 0.559)
La (0.912, 0.669, 0.441)
La (0.912, 0.831, 0.059)
La (0.088, 0.169, 0.941)
La (0.324, 0.750, 0.250)
La (0.676, 0.250, 0.750)
La (0.824, 0.750, 0.750)
La (0.176, 0.250, 0.250)
La (0.588, 0.331, 0.441)